5
Lattice="-1.805 2.172 -4.083 -1.230 -4.451 -1.824 -4.459 0.348 2.156" Properties=species:S:1:pos:R:3 comment="Cr3AsF | the Alexandria database | PBE+U | relaxed" polymorph_energy_mev_per_atom=237 total_energy_ev_per_atom=-5.75 pbc="T T T"
Cr -0.615 -2.225 -0.912
Cr -2.229 0.174 1.078
Cr -0.902 1.086 -2.042
As 0.000 0.000 0.000
F -3.747 -0.965 -1.876